VASP calculation (GGA-PBE) on a relaxed Sr3Cd7Au4 crystal.

Cell: 4.666 8.915 9.477 Å, 70.37 75.75 74.83°
Atoms (fractional coordinates):
Cd: 0.844 0.384 0.928
Cd: 0.156 0.616 0.072
Cd: 0.508 0.790 0.195
Cd: 0.492 0.210 0.805
Cd: 0.000 0.000 0.000
Cd: 0.324 0.834 0.517
Cd: 0.676 0.166 0.483
Au: 0.341 0.550 0.768
Au: 0.659 0.450 0.232
Au: 0.118 0.093 0.671
Au: 0.882 0.907 0.329
Sr: 0.697 0.812 0.794
Sr: 0.000 0.500 0.500
Sr: 0.303 0.188 0.206

Summary:
The space-group type is C2/m. For the total energy, the calculation gives -31.1 eV per cell. The formation energy is -0.47 eV/atom.



VASP calculation (GGA-PBE) on a relaxed SrCd5Au2 crystal.

Cell: 4.415 7.094 7.094 Å, 72.93 71.87 71.87°
Atoms (fractional coordinates):
Au: 0.730 0.770 0.770
Au: 0.270 0.230 0.230
Sr: 0.000 0.000 0.000
Cd: 0.649 0.536 0.166
Cd: 0.351 0.464 0.834
Cd: 0.351 0.834 0.464
Cd: 0.000 0.500 0.500
Cd: 0.649 0.166 0.536

Summary:
The space-group type is Immm. For the total energy, the calculation gives -15.5 eV per cell. The formation energy is -0.33 eV/atom.



VASP calculation (GGA-PBE) on a relaxed Sr8CdAu2 crystal.

Cell: 6.425 8.852 8.852 Å, 111.41 98.29 98.29°
Atoms (fractional coordinates):
Cd: 0.084 0.005 0.005
Au: 0.493 0.316 0.691
Au: 0.493 0.691 0.316
Sr: 0.580 0.071 0.333
Sr: 0.580 0.333 0.071
Sr: 0.190 0.378 0.378
Sr: 0.400 0.671 0.935
Sr: 0.798 0.630 0.630
Sr: 0.991 0.765 0.240
Sr: 0.991 0.240 0.765
Sr: 0.400 0.935 0.671

Summary:
The space-group type is Cm. For the total energy, the calculation gives -24.5 eV per cell. The formation energy is -0.32 eV/atom.



VASP calculation (GGA-PBE) on a relaxed SrCd4Au2 crystal.

Cell: 4.389 4.494 8.920 Å, 104.59 90.00 90.00°
Atoms (fractional coordinates):
Cd: 0.000 0.314 0.627
Cd: 0.500 0.182 0.363
Cd: 0.500 0.818 0.637
Cd: 0.000 0.686 0.373
Au: 0.500 0.421 0.842
Au: 0.500 0.579 0.158
Sr: 0.000 0.000 0.000

Summary:
The space-group type is Cmmm. The relative energy among the computed polymorphs is 36.4 meV per atom. For the total energy, the calculation gives -14.4 eV per cell. The formation energy is -0.36 eV/atom.



VASP calculation (GGA-PBE) on a relaxed Sr2CdAu crystal.

Cell: 3.923 3.923 7.991 Å, 90.00 90.00 90.00°
Atoms (fractional coordinates):
Sr: 0.000 0.000 0.767
Sr: 0.000 0.000 0.233
Au: 0.500 0.500 0.000
Cd: 0.500 0.500 0.500

Summary:
The space-group type is P4/mmm. For the total energy, the calculation gives -9.7 eV per cell. The formation energy is -0.53 eV/atom.



VASP calculation (GGA-PBE) on a relaxed Sr3Cd4Au2 crystal.

Cell: 4.875 6.481 9.415 Å, 71.13 75.00 67.91°
Atoms (fractional coordinates):
Au: 0.601 0.066 0.733
Au: 0.399 0.934 0.267
Cd: 0.726 0.612 0.936
Cd: 0.971 0.693 0.365
Cd: 0.274 0.388 0.064
Cd: 0.029 0.307 0.635
Sr: 0.681 0.285 0.353
Sr: 0.319 0.715 0.647
Sr: 0.000 0.000 0.000

Summary:
The space-group type is C2/m. For the total energy, the calculation gives -19.6 eV per cell. The formation energy is -0.48 eV/atom.



VASP calculation (GGA-PBE) on a relaxed Sr2CdAu10 crystal.

Cell: 5.810 8.602 12.776 Å, 87.68 90.64 63.86°
Atoms (fractional coordinates):
Au: 0.698 0.394 0.655
Au: 0.109 0.163 0.813
Au: 0.863 0.002 0.687
Au: 0.015 0.159 0.511
Au: 0.991 0.336 0.008
Au: 0.891 0.837 0.187
Au: 0.281 0.777 0.846
Au: 0.373 0.073 0.137
Au: 0.845 0.381 0.320
Au: 0.302 0.606 0.345
Au: 0.349 0.247 0.641
Au: 0.817 0.550 0.821
Au: 0.183 0.450 0.179
Au: 0.627 0.927 0.863
Au: 0.155 0.619 0.680
Au: 0.009 0.664 0.992
Au: 0.651 0.753 0.359
Au: 0.719 0.223 0.154
Au: 0.137 0.998 0.313
Au: 0.985 0.841 0.489
Sr: 0.506 0.173 0.379
Sr: 0.494 0.827 0.621
Sr: 0.472 0.344 0.881
Sr: 0.528 0.656 0.119
Cd: 0.000 0.000 0.000
Cd: 0.000 0.500 0.500

Summary:
The space-group type is P-1. For the total energy, the calculation gives -83.5 eV per cell. The formation energy is -0.36 eV/atom.



VASP calculation (GGA-PBE) on a relaxed Sr5CdAu crystal.

Cell: 4.707 8.873 14.469 Å, 87.63 90.00 90.00°
Atoms (fractional coordinates):
Sr: 0.750 0.631 0.874
Sr: 0.250 0.853 0.071
Sr: 0.250 0.336 0.720
Sr: 0.750 0.943 0.657
Sr: 0.250 0.057 0.343
Sr: 0.750 0.664 0.280
Sr: 0.750 0.328 0.483
Sr: 0.250 0.369 0.126
Sr: 0.250 0.672 0.517
Sr: 0.750 0.147 0.929
Cd: 0.750 0.074 0.171
Cd: 0.250 0.926 0.829
Au: 0.750 0.564 0.653
Au: 0.250 0.436 0.347

Summary:
The space-group type is P2_1/m. For the total energy, the calculation gives -29.5 eV per cell. The formation energy is -0.31 eV/atom.